[1]
Density functional theory data (GGA-PBE) for Hf3Zn4 after structural relaxation.

Unit cell a=7.738 b=7.738 c=4.951 alpha=90.00 beta=90.00 gamma=120.00
Sites, in units of the cell vectors:
Hf  0.060  0.806  0.250
Hf  0.194  0.254  0.250
Hf  0.254  0.060  0.750
Hf  0.746  0.940  0.250
Hf  0.806  0.746  0.750
Hf  0.940  0.194  0.750
Zn  0.104  0.622  0.750
Zn  0.333  0.667  0.250
Zn  0.378  0.482  0.750
Zn  0.482  0.104  0.250
Zn  0.518  0.896  0.750
Zn  0.622  0.518  0.250
Zn  0.667  0.333  0.750
Zn  0.896  0.378  0.250

## Properties
* crystal system: hexagonal

[2]
Density functional theory data (GGA-PBE) for HfZn2 after structural relaxation.

Unit cell a=5.715 b=5.713 c=3.055 alpha=74.52 beta=74.47 gamma=31.01
Sites, in units of the cell vectors:
Hf  0.000  0.000  0.000
Zn  0.321  0.321  0.679
Zn  0.679  0.679  0.321

## Properties
* crystal system: orthorhombic

[3]
Density functional theory data (GGA-PBE) for HfZn2 after structural relaxation.

Unit cell a=7.288 b=7.288 c=4.620 alpha=90.00 beta=90.00 gamma=155.63
Sites, in units of the cell vectors:
Hf  0.070  0.930  0.750
Hf  0.930  0.070  0.250
Zn  0.262  0.738  0.250
Zn  0.390  0.610  0.750
Zn  0.610  0.390  0.250
Zn  0.738  0.262  0.750

## Properties
* crystal system: orthorhombic

[4]
Density functional theory data (GGA-PBE) for HfZn5 after structural relaxation.

Unit cell a=5.081 b=5.081 c=4.153 alpha=90.00 beta=90.00 gamma=120.00
Sites, in units of the cell vectors:
Hf  0.000  0.000  0.000
Zn  0.000  0.415  0.500
Zn  0.333  0.667  0.000
Zn  0.415  0.000  0.500
Zn  0.585  0.585  0.500
Zn  0.667  0.333  0.000

## Properties
* crystal system: hexagonal

[5]
Density functional theory data (GGA-PBE) for HfZn2 after structural relaxation.

Unit cell a=5.217 b=5.217 c=8.367 alpha=90.00 beta=90.00 gamma=120.00
Sites, in units of the cell vectors:
Hf  0.333  0.667  0.066
Hf  0.333  0.667  0.434
Hf  0.667  0.333  0.566
Hf  0.667  0.333  0.934
Zn  0.000  0.000  0.000
Zn  0.000  0.000  0.500
Zn  0.172  0.344  0.750
Zn  0.172  0.828  0.750
Zn  0.344  0.172  0.250
Zn  0.656  0.828  0.750
Zn  0.828  0.172  0.250
Zn  0.828  0.656  0.250

## Properties
* crystal system: hexagonal

[6]
Density functional theory data (GGA-PBE) for HfZn2 after structural relaxation.

Unit cell a=4.537 b=9.803 c=4.569 alpha=90.00 beta=90.00 gamma=90.00
Sites, in units of the cell vectors:
Hf  0.250  0.096  0.008
Hf  0.250  0.404  0.008
Hf  0.750  0.596  0.992
Hf  0.750  0.904  0.992
Zn  0.250  0.250  0.509
Zn  0.250  0.580  0.510
Zn  0.250  0.750  0.024
Zn  0.250  0.920  0.510
Zn  0.750  0.080  0.490
Zn  0.750  0.250  0.976
Zn  0.750  0.420  0.490
Zn  0.750  0.750  0.491

## Properties
* crystal system: orthorhombic

[7]
Density functional theory data (GGA-PBE) for Hf6Zn7 after structural relaxation.

Unit cell a=10.010 b=10.010 c=10.010 alpha=30.30 beta=30.30 gamma=30.30
Sites, in units of the cell vectors:
Hf  0.047  0.047  0.047
Hf  0.151  0.151  0.151
Hf  0.334  0.334  0.334
Hf  0.666  0.666  0.666
Hf  0.849  0.849  0.849
Hf  0.953  0.953  0.953
Zn  0.087  0.596  0.596
Zn  0.404  0.404  0.913
Zn  0.404  0.913  0.404
Zn  0.500  0.500  0.500
Zn  0.596  0.087  0.596
Zn  0.596  0.596  0.087
Zn  0.913  0.404  0.404

## Properties
* crystal system: trigonal

[8]
Density functional theory data (GGA-PBE) for Hf3Zn4 after structural relaxation.

Unit cell a=8.033 b=8.033 c=4.458 alpha=90.00 beta=90.00 gamma=120.00
Sites, in units of the cell vectors:
Hf  0.104  0.454  0.250
Hf  0.350  0.896  0.250
Hf  0.454  0.350  0.750
Hf  0.546  0.650  0.250
Hf  0.650  0.104  0.750
Hf  0.896  0.546  0.750
Zn  0.044  0.221  0.750
Zn  0.177  0.956  0.750
Zn  0.221  0.177  0.250
Zn  0.333  0.667  0.750
Zn  0.667  0.333  0.250
Zn  0.779  0.823  0.750
Zn  0.823  0.044  0.250
Zn  0.956  0.779  0.250

## Properties
* crystal system: hexagonal

[9]
Density functional theory data (GGA-PBE) for HfZrZn after structural relaxation.

Unit cell a=4.661 b=4.661 c=4.661 alpha=60.00 beta=60.00 gamma=60.00
Sites, in units of the cell vectors:
Hf  0.000  0.000  0.000
Zr  0.250  0.250  0.250
Zn  0.750  0.750  0.750

## Properties
* crystal system: cubic

[10]
Density functional theory data (GGA-PBE) for HfZr after structural relaxation.

Unit cell a=5.116 b=6.415 c=11.141 alpha=90.00 beta=90.00 gamma=90.00
Sites, in units of the cell vectors:
Hf  0.250  0.000  0.083
Hf  0.250  0.250  0.332
Hf  0.250  0.250  0.838
Hf  0.250  0.500  0.083
Hf  0.750  0.000  0.917
Hf  0.750  0.500  0.917
Hf  0.750  0.750  0.162
Hf  0.750  0.750  0.668
Zr  0.250  0.000  0.584
Zr  0.250  0.500  0.584
Zr  0.250  0.750  0.329
Zr  0.250  0.750  0.835
Zr  0.750  0.000  0.416
Zr  0.750  0.250  0.165
Zr  0.750  0.250  0.671
Zr  0.750  0.500  0.416

## Properties
* crystal system: orthorhombic

[11]
Density functional theory data (GGA-PBE) for HfZr after structural relaxation.

Unit cell a=5.116 b=8.503 c=8.503 alpha=141.84 beta=90.00 gamma=90.00
Sites, in units of the cell vectors:
Hf  0.000  0.000  0.000
Hf  0.000  0.398  0.596
Hf  0.000  0.596  0.398
Hf  0.500  0.068  0.265
Hf  0.500  0.265  0.068
Zr  0.000  0.198  0.802
Zr  0.000  0.802  0.198
Zr  0.500  0.462  0.860
Zr  0.500  0.667  0.667
Zr  0.500  0.860  0.462

## Properties
* crystal system: orthorhombic

[12]
Density functional theory data (GGA-PBE) for HfZr after structural relaxation.

Unit cell a=6.432 b=5.558 c=5.116 alpha=90.00 beta=90.00 gamma=90.00
Sites, in units of the cell vectors:
Hf  0.122  0.085  0.250
Hf  0.122  0.415  0.750
Hf  0.878  0.585  0.250
Hf  0.878  0.915  0.750
Zr  0.372  0.581  0.250
Zr  0.372  0.919  0.750
Zr  0.628  0.081  0.250
Zr  0.628  0.419  0.750

## Properties
* crystal system: orthorhombic

Calculated values (meV per atom) of E_form for the records, taken in order: 40 -139 -66 -57 -212 4 -198 -108 893 1 1 1.
Calculated values (μB/cell) of spin magnetization for the records, taken in order: 0.357 0.003 0.000 0.001 3.015 0.025 0.025 0.003 2.153 0.039 0.034 0.014.